DFT (PBE-GGA) results for TlVMo2 after structural relaxation.

Values from the calculation:
Magnetic moment   2.72 μB/cell
Theoretical density   10.080 g cm⁻³
Space-group type   I-42d (122)
Relative energy among the computed polymorphs   346 meV per atom
Energy of formation   953 meV/atom
Total energy   -0.53902 Ry/atom

a = 3.860 Å, b = 3.860 Å, c = 10.258 Å
α = 79.15°, β = 79.15°, γ = 90.00°
Site moments in Bohr magnetons follow the coordinates.
Fractional positions:
V 0.250 0.750 0.500  1.23
Mo 0.593 0.125 0.250  0.00
Mo 0.375 0.407 0.750  0.00
Mo 0.875 0.843 0.750  0.00
Mo 0.157 0.625 0.250  0.00
V 0.500 0.500 0.000  1.23
Tl 0.000 0.000 0.000  -0.01
Tl 0.750 0.250 0.500  -0.01